Material: K2PaSe4
Method: DFT, GGA-PBE
State: relaxed

polymorph energy (0 for the lowest one)	80	meV per atom
M_tot	0.00	μB/atom
ΔE_f (raw)	-1.10	eV/atom
E	-4.76	eV per atom

a b c (Å): 9.063 9.063 9.503
angles (deg): 90.00 90.00 90.00
Space group I-42d (No. 122)
One atom of each set of equivalent atoms:
K1 0.100 0.250 0.125
Pa1 0.000 0.000 0.500
Se1 0.060 0.190 0.768